The following is a DFT calculation (PBE) of crystalline Hg2SbPb3 at its relaxed geometry.

Cell and atoms, written as extended XYZ:
```
12
Lattice="-2.495 2.411 -3.252 -0.479 -5.814 -3.943 -9.163 -2.671 5.050" Properties=species:S:1:pos:R:3 pbc="T T T"
Hg -2.472 -6.227 -2.720
Pb -10.451 -4.939 0.879
Sb -8.271 -7.618 0.698
Pb -7.894 -1.711 1.310
Pb -1.552 0.492 -1.922
Pb -4.169 -3.463 -2.846
Hg -7.137 -4.048 -1.002
Hg -7.381 -4.821 2.089
Pb -4.285 -3.557 0.651
Sb -1.531 -2.817 -0.913
Pb -5.506 -6.750 -0.780
Hg -4.879 -0.552 -0.144
```

Computed properties:
N(E_F): 5.5 states/eV per cell
V: 361.6 Å³ per cell
Spin magnetization: 0.000 μB per formula unit
E_form (uncorrected): 41 meV/atom

The following is a DFT calculation (PBE) of crystalline Rb2ScTa3O12 at its relaxed geometry.

Cell and atoms, written as extended XYZ:
```
18
Lattice="7.541 0.006 0.005 3.730 6.554 0.005 3.730 2.171 6.184" Properties=species:S:1:pos:R:3 pbc="T T T"
Rb 5.626 3.275 2.323
O 3.310 4.543 0.450
O 8.052 1.943 4.286
O 6.949 6.788 1.908
Ta 1.865 1.086 3.092
Rb 9.375 5.457 3.871
Sc 0.000 0.000 0.000
O 5.666 6.042 4.286
Ta 1.865 3.277 0.002
O 9.416 8.097 5.743
O 8.052 4.687 0.417
O 3.310 1.927 4.139
O 11.690 4.189 5.743
O 6.949 4.045 5.776
O 9.334 2.690 1.908
Ta 3.771 0.003 0.002
O 11.690 6.805 2.055
O 5.585 0.635 0.450
```

Computed properties:
N(E_F): 12.5 states/eV per cell
V: 305.4 Å³ per cell
Spin magnetization: 4.039 μB per formula unit
E_form (uncorrected): -2287 meV/atom

The following is a DFT calculation (PBE) of crystalline SrAg2Ir at its relaxed geometry.

Cell and atoms, written as extended XYZ:
```
4
Lattice="4.663 -0.007 0.005 2.334 4.037 0.005 2.351 1.354 5.170" Properties=species:S:1:pos:R:3 pbc="T T T"
Ag 7.009 4.037 3.607
Ir 4.676 2.693 3.558
Ag 2.346 1.351 4.414
Sr 2.341 1.349 1.362
```

Computed properties:
N(E_F): 1.4 states/eV per cell
V: 97.3 Å³ per cell
Total energy: -3.996 eV/atom
Spin magnetization: 0.000 μB per formula unit

The following is a DFT calculation (PBE) of crystalline CaLa2Hg3 at its relaxed geometry.

Cell and atoms, written as extended XYZ:
```
12
Lattice="-1.935 -0.247 -5.107 0.615 -4.583 2.915 -12.566 1.303 4.698" Properties=species:S:1:pos:R:3 pbc="T T T"
Ca -8.598 -2.271 3.368
La -11.468 -0.616 1.449
Hg -9.383 0.973 3.508
Ca -5.288 -1.257 -0.861
La 0.000 0.000 0.000
Hg -3.183 0.330 1.190
La -6.283 0.652 2.349
Hg -5.482 -2.594 2.203
La -2.418 -2.912 1.057
Hg -8.404 -0.934 0.304
Hg -2.160 -1.581 -2.031
Hg -11.726 -1.946 4.537
```

Computed properties:
N(E_F): 10.0 states/eV per cell
V: 348.8 Å³ per cell
Total energy: -2.671 eV/atom
Spin magnetization: 0.020 μB per formula unit